First-principles (PBE) data for Ca2POs after structural relaxation, as listed in Alexandria.

Results
- Density of states at the Fermi level: 0.561 states/eV per atom
- ΔH_f (0 K): 0.11 eV/atom
- Final energy: -5.05 eV per atom

abc: 5.1280 5.1280 5.1280
angles: 129.87 129.87 73.62
Positions (direct):
Ca 0.2500 0.7500 0.5000
Ca 0.7500 0.2500 0.5000
P 0.0000 0.0000 0.0000
Os 0.5000 0.5000 0.0000

=====

First-principles (PBE) data for SrPm2Np3N8 after structural relaxation, as listed in Alexandria.

Results
- ΔE_f (raw): -1.1594 eV per atom
- Density of states at the Fermi level: 0.784 states/eV per atom
- Final energy: -9.49 eV per atom

abc: 6.9932 6.9932 6.9932
angles: 59.60 59.60 59.60
Positions (direct):
Sr 0.0000 0.0000 0.0000
Pm 0.2385 0.2385 0.2385
Pm 0.6208 0.6208 0.6208
Np 0.1180 0.6215 0.6215
Np 0.6215 0.1180 0.6215
Np 0.6215 0.6215 0.1180
N 0.3737 0.3737 0.8193
N 0.3737 0.8193 0.3737
N 0.3874 0.3874 0.3874
N 0.4407 0.8627 0.8627
N 0.8193 0.3737 0.3737
N 0.8474 0.8474 0.8474
N 0.8627 0.4407 0.8627
N 0.8627 0.8627 0.4407

=====

First-principles (PBE) data for LaScPPt2 after structural relaxation, as listed in Alexandria.

Results
- Density of states at the Fermi level: 1.106 states/eV per atom
- ΔH_f (0 K): -0.31 eV/atom
- Final energy: -6.06 eV per atom

abc: 4.6264 4.6264 5.2638
angles: 90.00 90.00 90.00
Positions (direct):
La 0.0000 0.0000 0.0000
Sc 0.5000 0.5000 0.0000
P 0.0000 0.0000 0.5000
Pt 0.0000 0.5000 0.5000
Pt 0.5000 0.0000 0.5000

=====

> Which value of final energy does entry 1 give?

-5.05 eV per atom